Entry 1:
Cs2Cu2PbCl7 PBE-GGA relaxed; ΔE_f (raw) = -1.12 eV per atom; magnetization = 0.002 Bohr magnetons per cell; calculated total energy = -3.3297 eV/atom
1.0
3.5616 -3.5610 0.0000
3.5616 3.5610 0.0000
-3.5368 0.0000 12.9418
Cs Cu Pb Cl
2 2 1 7
direct
0.1773 0.1773 0.3571
0.8227 0.8227 0.6429
0.4094 0.4094 0.8176
0.5906 0.5906 0.1824
0.0000 0.0000 0.0000
0.0790 0.5788 0.1594
0.3184 0.3184 0.6339
0.4212 0.9210 0.8406
0.5000 0.5000 0.0000
0.5788 0.0790 0.1594
0.6816 0.6816 0.3661
0.9210 0.4212 0.8406

Entry 2:
Ce6TmN8 PBE-GGA relaxed; ΔE_f (raw) = -1.32 eV per atom; magnetization = 1.962 Bohr magnetons per cell; calculated total energy = -8.4301 eV/atom
1.0
0.0000 4.9859 4.9859
4.9859 0.0000 4.9859
4.9859 4.9859 0.0000
Ce Tm N
6 1 8
direct
0.0000 0.0000 0.5000
0.0000 0.5000 0.0000
0.0000 0.5000 0.5000
0.5000 0.0000 0.0000
0.5000 0.0000 0.5000
0.5000 0.5000 0.0000
0.0000 0.0000 0.0000
0.2329 0.2329 0.7671
0.2329 0.7671 0.2329
0.2329 0.7671 0.7671
0.2500 0.2500 0.2500
0.7500 0.7500 0.7500
0.7671 0.2329 0.2329
0.7671 0.2329 0.7671
0.7671 0.7671 0.2329

Entry 3:
Tl4W PBE-GGA relaxed; polymorph energy (0 for the lowest one) = 0 meV per atom; calculated formation energy = 445 meV per atom; magnetization = 0.000 Bohr magnetons per cell; calculated total energy = -4.0389 eV/atom
1.0
-3.2825 3.2825 3.2825
3.2825 -3.2825 3.2825
3.2825 3.2825 -3.2825
Tl W
4 1
direct
0.0000 0.0000 0.5000
0.0000 0.5000 0.0000
0.5000 0.0000 0.0000
0.5000 0.5000 0.5000
0.0000 0.0000 0.0000

Entry 4:
Rb2ThIr3O12 PBE-GGA relaxed; ΔE_f (raw) = -1.32 eV per atom; magnetization = 0.000 Bohr magnetons per cell; calculated total energy = -6.6182 eV/atom
1.0
3.6621 2.1143 6.3523
-3.6621 2.1143 6.3523
0.0000 -4.2286 6.3523
Rb Th Ir O
2 1 3 12
direct
0.1192 0.1192 0.1192
0.8808 0.8808 0.8808
0.5000 0.5000 0.5000
0.0000 0.5000 0.5000
0.5000 0.0000 0.5000
0.5000 0.5000 0.0000
0.1338 0.5845 0.5845
0.1960 0.1960 0.5832
0.1960 0.5832 0.1960
0.4155 0.4155 0.8662
0.4155 0.8662 0.4155
0.4168 0.8040 0.8040
0.5832 0.1960 0.1960
0.5845 0.1338 0.5845
0.5845 0.5845 0.1338
0.8040 0.4168 0.8040
0.8040 0.8040 0.4168
0.8662 0.4155 0.4155

Entry 5:
Hg2TeBr PBE-GGA relaxed; polymorph energy (0 for the lowest one) = 324 meV per atom; ΔE_f (raw) = 0.07 eV per atom; magnetization = 0.000 Bohr magnetons per cell; calculated total energy = -1.2865 eV/atom
1.0
-1.7759 2.4684 6.9390
1.7759 -2.4684 6.9390
1.7759 2.4684 -6.9390
Hg Te Br
2 1 1
direct
0.2191 0.2191 0.0000
0.7809 0.7809 0.0000
0.0000 0.5000 0.5000
0.5000 0.0000 0.5000

Entry 6:
Ca3Pm2TmTe6 PBE-GGA relaxed; ΔE_f (raw) = -1.47 eV per atom; magnetization = 0.000 Bohr magnetons per cell; calculated total energy = -4.7083 eV/atom
1.0
3.8341 -6.6297 0.0000
3.8341 6.6297 0.0000
-2.5586 0.0000 7.3726
Ca Pm Tm Te
3 2 1 6
direct
0.0000 0.0000 0.0000
0.3297 0.6703 0.0000
0.6703 0.3297 0.0000
0.1653 0.8347 0.5000
0.8347 0.1653 0.5000
0.5000 0.5000 0.5000
0.0932 0.4179 0.2521
0.2599 0.2599 0.7505
0.4179 0.0932 0.2521
0.5821 0.9068 0.7479
0.7401 0.7401 0.2495
0.9068 0.5821 0.7479